Entry from Alexandria via LeMat-Bulk: an optimized crystal structure of KVHg2Os (PBE-GGA).

a = 5.367 Å, b = 5.367 Å, c = 4.906 Å
α = 90.00°, β = 90.00°, γ = 90.00°
Space group P4/mmm (No. 123)
One atom of each set of equivalent atoms:
K  0.000  0.000  0.000
V  0.500  0.500  0.500
Hg  0.000  0.500  0.000
Os  0.000  0.000  0.500

## Properties
* total magnetization: 0.11 μB/cell
* total energy: -1.8204 eV per atom

---

Entry from Alexandria via LeMat-Bulk: an optimized crystal structure of K2HgP (PBE-GGA).

a = 5.143 Å, b = 5.143 Å, c = 8.624 Å
α = 90.00°, β = 90.00°, γ = 90.00°
Space group I-4m2 (No. 119)
One atom of each set of equivalent atoms:
K  0.000  0.000  0.000
K  0.000  0.500  0.250
Hg  0.000  0.000  0.500
P  0.000  0.500  0.750

## Properties
* total magnetization: 0.00 μB/cell
* total energy: -2.0417 eV per atom
* energy above the lowest structure with this stoichiometry: 125 meV per atom

---

Entry from Alexandria via LeMat-Bulk: an optimized crystal structure of KHg2P2 (PBE-GGA).

a = 6.623 Å, b = 7.183 Å, c = 11.968 Å
α = 90.00°, β = 95.78°, γ = 90.00°
Space group Cm (No. 8)
One atom of each set of equivalent atoms:
K  0.000  0.000  0.000
K  0.067  0.500  0.528
Hg  0.056  0.000  0.408
Hg  0.235  0.273  0.226
Hg  0.497  0.000  0.980
P  0.222  0.251  0.815
P  0.453  0.329  0.704

## Properties
* total magnetization: 0.00 μB/cell
* total energy: -2.6513 eV per atom
* energy above the lowest structure with this stoichiometry: 36 meV per atom

---

Entry from Alexandria via LeMat-Bulk: an optimized crystal structure of KHgP2 (PBE-GGA).

a = 7.163 Å, b = 7.163 Å, c = 7.163 Å
α = 90.00°, β = 90.00°, γ = 90.00°
Space group F-43m (No. 216)
One atom of each set of equivalent atoms:
K  0.000  0.000  0.000
Hg  0.250  0.250  0.250
P  0.000  0.000  0.500
P  0.250  0.250  0.750

## Properties
* total magnetization: 0.00 μB/cell
* total energy: -2.5275 eV per atom

---

Entry from Alexandria via LeMat-Bulk: an optimized crystal structure of KHgP2 (PBE-GGA).

a = 4.240 Å, b = 4.240 Å, c = 10.111 Å
α = 90.00°, β = 90.00°, γ = 90.00°
Space group I4/mmm (No. 139)
One atom of each set of equivalent atoms:
K  0.000  0.000  0.000
Hg  0.000  0.000  0.500
P  0.000  0.500  0.250

## Properties
* total magnetization: 0.00 μB/cell
* total energy: -2.5502 eV per atom

---

Entry from Alexandria via LeMat-Bulk: an optimized crystal structure of KHg2P2 (PBE-GGA).

a = 5.102 Å, b = 5.709 Å, c = 11.435 Å
α = 75.99°, β = 83.96°, γ = 74.27°
Space group P1 (No. 1)
One atom of each set of equivalent atoms:
K  0.000  0.000  0.000
K  0.222  0.057  0.663
Hg  0.131  0.761  0.347
Hg  0.513  0.138  0.366
Hg  0.644  0.529  0.527
Hg  0.934  0.412  0.208
P  0.380  0.435  0.854
P  0.459  0.429  0.042
P  0.597  0.708  0.891
P  0.971  0.555  0.785

## Properties
* total magnetization: 0.00 μB/cell
* total energy: -2.6460 eV per atom
* energy above the lowest structure with this stoichiometry: 41 meV per atom